# 1
# NaAuNO (PBE, optimized geometry)
data_NaAuNO
_chemical_formula_sum 'Na4 Au4 N4 O4'
_symmetry_space_group_name_H-M 'P c a 21'
_symmetry_Int_Tables_number 29
_cell_length_a 5.501
_cell_length_b 8.066
_cell_length_c 5.584
_cell_angle_alpha 90.00
_cell_angle_beta 90.00
_cell_angle_gamma 90.00
loop_
_symmetry_equiv_pos_as_xyz
'x,y,z'
'-x,-y,z+1/2'
'-x+1/2,y,z+1/2'
'x+1/2,-y,z'
loop_
_atom_site_label
_atom_site_fract_x
_atom_site_fract_y
_atom_site_fract_z
Na1 0.020 0.160 0.000
Au1 0.035 0.660 0.002
N1 0.045 0.119 0.508
O1 0.108 0.569 0.499
# Energy above the lowest structure with this stoichiometry, meV per atom: 211.2

---

# 2
# Sr2InSnPd4 (PBE, optimized geometry)
data_Sr2InSnPd4
_chemical_formula_sum 'Sr2 In1 Sn1 Pd4'
_symmetry_space_group_name_H-M 'P -3 m 1'
_symmetry_Int_Tables_number 164
_symmetry_space_group_name_Hall '-P 3 2"'
_cell_length_a 4.6401
_cell_length_b 4.6401
_cell_length_c 10.2545
_cell_angle_alpha 90.00
_cell_angle_beta 90.00
_cell_angle_gamma 120.00
loop_
_atom_site_label
_atom_site_fract_x
_atom_site_fract_y
_atom_site_fract_z
Sr1 0.3333 0.6667 0.2501
In1 0.0000 0.0000 0.0000
Sn1 0.0000 0.0000 0.5000
Pd1 0.3333 0.6667 0.5542
Pd2 0.3333 0.6667 0.9453
# Total energy, eV per cell: -36.28

---

# 3
# LaPrAl4 (PBE, optimized geometry)
data_LaPrAl4
_chemical_formula_sum 'La2 Pr2 Al8'
_symmetry_space_group_name_H-M 'P m m a'
_symmetry_Int_Tables_number 51
_cell_length_a 8.856
_cell_length_b 4.420
_cell_length_c 7.465
_cell_angle_alpha 90.00
_cell_angle_beta 90.00
_cell_angle_gamma 90.00
loop_
_symmetry_equiv_pos_as_xyz
'x,y,z'
'-x,-y,-z'
'-x+1/2,-y,z'
'x+1/2,y,-z'
'x+1/2,-y,-z'
'-x+1/2,y,z'
'-x,y,-z'
'x,-y,z'
loop_
_atom_site_label
_atom_site_fract_x
_atom_site_fract_y
_atom_site_fract_z
La1 0.250 0.000 0.195
Pr1 0.250 0.000 0.777
Al1 0.000 0.000 0.500
Al2 0.005 0.500 0.769
Al3 0.250 0.500 0.490
# Total energy, eV per cell: -51.46
# Total moment, μB per formula unit: 0.00

---

# 4
# Pr2ErCu4Pb4 (PBE, optimized geometry)
data_Pr2ErCu4Pb4
_chemical_formula_sum 'Pr4 Er2 Cu8 Pb8'
_symmetry_space_group_name_H-M 'I m m m'
_symmetry_Int_Tables_number 71
_symmetry_space_group_name_Hall '-I 2 2'
_cell_length_a 4.693
_cell_length_b 7.000
_cell_length_c 15.285
_cell_angle_alpha 90.00
_cell_angle_beta 90.00
_cell_angle_gamma 90.00
loop_
_atom_site_label
_atom_site_fract_x
_atom_site_fract_y
_atom_site_fract_z
Pr1 0.000 0.000 0.133
Er1 0.000 0.500 0.000
Cu1 0.000 0.186 0.330
Pb1 0.000 0.285 0.500
Pb2 0.000 0.500 0.213
# Total energy, eV per cell: -94.19
# Total moment, μB per formula unit: 0.00

---

# 5
# AcPbAu (PBE, optimized geometry)
data_AcPbAu
_chemical_formula_sum 'Ac4 Pb4 Au4'
_symmetry_space_group_name_H-M 'F -4 3 m'
_symmetry_Int_Tables_number 216
_symmetry_space_group_name_Hall 'F -4 2 3'
_cell_length_a 7.263
_cell_length_b 7.263
_cell_length_c 7.263
_cell_angle_alpha 90.00
_cell_angle_beta 90.00
_cell_angle_gamma 90.00
loop_
_atom_site_label
_atom_site_fract_x
_atom_site_fract_y
_atom_site_fract_z
Ac1 0.000 0.000 0.000
Pb1 0.000 0.000 0.500
Au1 0.250 0.250 0.750
# Total moment, μB per formula unit: 0.00
# Energy above the lowest structure with this stoichiometry, meV per atom: 0.0

---

# 6
# MgNiSb (PBE, optimized geometry)
data_MgNiSb
_chemical_formula_sum 'Mg3 Ni3 Sb3'
_symmetry_space_group_name_H-M 'P -6 2 m'
_symmetry_Int_Tables_number 189
_symmetry_space_group_name_Hall 'P -6 -2'
_cell_length_a 7.6463
_cell_length_b 7.6463
_cell_length_c 3.2872
_cell_angle_alpha 90.00
_cell_angle_beta 90.00
_cell_angle_gamma 120.00
loop_
_atom_site_label
_atom_site_fract_x
_atom_site_fract_y
_atom_site_fract_z
Mg1 0.0000 0.2960 0.0000
Ni1 0.0000 0.6423 0.5000
Sb1 0.0000 0.0000 0.5000
Sb2 0.3333 0.6667 0.0000
# Total energy, eV per cell: -33.11
# Total moment, μB per formula unit: 0.00

---

# 7
# SmSiB4 (PBE, optimized geometry)
data_SmSiB4
_chemical_formula_sum 'Sm1 Si1 B4'
_symmetry_space_group_name_H-M 'P 6/m m m'
_symmetry_Int_Tables_number 191
_symmetry_space_group_name_Hall '-P 6 2'
_cell_length_a 3.0868
_cell_length_b 3.0868
_cell_length_c 7.5994
_cell_angle_alpha 90.00
_cell_angle_beta 90.00
_cell_angle_gamma 120.00
loop_
_atom_site_label
_atom_site_fract_x
_atom_site_fract_y
_atom_site_fract_z
Sm1 0.0000 0.0000 0.0000
Si1 0.0000 0.0000 0.5000
B1 0.3333 0.6667 0.2869
# Total moment, μB per formula unit: 0.00
# Energy above the lowest structure with this stoichiometry, meV per atom: 71.2

---

# 8
# GePdSO (PBE, optimized geometry)
data_GePdSO
_chemical_formula_sum 'Ge8 Pd8 S8 O8'
_symmetry_space_group_name_H-M 'P b c a'
_symmetry_Int_Tables_number 61
_cell_length_a 5.775
_cell_length_b 6.526
_cell_length_c 14.167
_cell_angle_alpha 90.00
_cell_angle_beta 90.00
_cell_angle_gamma 90.00
loop_
_symmetry_equiv_pos_as_xyz
'x,y,z'
'-x,-y,-z'
'-x+1/2,-y,z+1/2'
'x+1/2,y,-z+1/2'
'x+1/2,-y+1/2,-z'
'-x+1/2,y+1/2,z'
'-x,y+1/2,-z+1/2'
'x,-y+1/2,z+1/2'
loop_
_atom_site_label
_atom_site_fract_x
_atom_site_fract_y
_atom_site_fract_z
Ge1 0.148 0.162 0.191
Pd1 0.024 0.236 0.011
S1 0.223 0.001 0.430
O1 0.078 0.708 0.736
# Energy above the lowest structure with this stoichiometry, meV per atom: 35.2

---

# 9
# Lu2AuSe3 (PBE, optimized geometry)
data_Lu2AuSe3
_chemical_formula_sum 'Lu8 Au4 Se12'
_symmetry_space_group_name_H-M 'P n m a'
_symmetry_Int_Tables_number 62
_cell_length_a 7.619
_cell_length_b 3.863
_cell_length_c 18.443
_cell_angle_alpha 90.00
_cell_angle_beta 90.00
_cell_angle_gamma 90.00
loop_
_symmetry_equiv_pos_as_xyz
'x,y,z'
'-x,-y,-z'
'-x+1/2,-y,z+1/2'
'x+1/2,y,-z+1/2'
'x+1/2,-y+1/2,-z+1/2'
'-x+1/2,y+1/2,z+1/2'
'-x,y+1/2,-z'
'x,-y+1/2,z'
loop_
_atom_site_label
_atom_site_fract_x
_atom_site_fract_y
_atom_site_fract_z
Lu1 0.029 0.250 0.197
Lu2 0.226 0.750 0.502
Au1 0.063 0.250 0.601
Se1 0.053 0.750 0.082
Se2 0.195 0.250 0.738
Se3 0.197 0.250 0.394
# Total energy, eV per cell: -121.51
# Total moment, μB per formula unit: 0.00

---

# 10
# Dy2Y3Lu3 (PBE, optimized geometry)
data_Dy2Y3Lu3
_chemical_formula_sum 'Dy4 Y6 Lu6'
_symmetry_space_group_name_H-M 'A m m 2'
_symmetry_Int_Tables_number 38
_cell_length_a 5.591
_cell_length_b 7.172
_cell_length_c 12.427
_cell_angle_alpha 90.00
_cell_angle_beta 90.00
_cell_angle_gamma 90.00
loop_
_symmetry_equiv_pos_as_xyz
'x,y,z'
'-x,-y,z'
'-x,y,z'
'x,-y,z'
'x,y+1/2,z+1/2'
'-x,-y+1/2,z+1/2'
'-x,y+1/2,z+1/2'
'x,-y+1/2,z+1/2'
loop_
_atom_site_label
_atom_site_fract_x
_atom_site_fract_y
_atom_site_fract_z
Dy1 0.000 0.000 0.000
Dy2 0.500 0.000 0.333
Y1 0.000 0.250 0.250
Y2 0.500 0.000 0.833
Lu1 0.000 0.000 0.500
Lu2 0.500 0.249 0.583
# Formation energy from the elements, kJ/mol of formula units: 4.4
# Total moment, μB per formula unit: 0.21

---

# 11
# RbNa3Pm (PBE, optimized geometry)
data_RbNa3Pm
_chemical_formula_sum 'Rb1 Na3 Pm1'
_symmetry_space_group_name_H-M 'P m -3 m'
_symmetry_Int_Tables_number 221
_symmetry_space_group_name_Hall '-P 4 2 3'
_cell_length_a 5.875
_cell_length_b 5.875
_cell_length_c 5.875
_cell_angle_alpha 90.00
_cell_angle_beta 90.00
_cell_angle_gamma 90.00
loop_
_atom_site_label
_atom_site_fract_x
_atom_site_fract_y
_atom_site_fract_z
Rb1 0.000 0.000 0.000
Na1 0.000 0.000 0.500
Pm1 0.500 0.500 0.500
# Total energy, eV per cell: -5.87
# Total moment, μB per formula unit: 0.22